A plane-wave DFT calculation with PBE-GGA was carried out for CoHIr after structural relaxation.

As for the calculated density: 13212 kg/m³. As for the symmetry: No. 12. Its total energy is -0.4565 Ry per atom. The calculation puts the density of states at the Fermi level at 0.910 states/eV/atom.

POSCAR file:
```
CoHIr
1.0
2.674 0.000 0.000
-1.337 4.332 -0.672
0.000 -1.599 5.720
Ir H Co
2 2 2
direct
0.663 0.326 0.104 Ir
0.337 0.674 0.896 Ir
0.836 0.672 0.406 H
0.164 0.328 0.594 H
0.994 0.987 0.297 Co
0.006 0.013 0.703 Co
```

A plane-wave DFT calculation with PBE-GGA was carried out for RbDyAlS4 after structural relaxation.

As for the calculated density: 3730 kg/m³. As for the symmetry: No. 11. Its total energy is -0.3728 Ry per atom. The calculation puts the density of states at the Fermi level at 0.234 states/eV/atom. The formation energy without anion corrections is -1.384 eV per atom.

POSCAR file:
```
RbDyAlS4
1.0
6.878 0.000 0.046
0.000 5.684 0.000
-2.629 0.000 9.165
S Dy Al Rb
8 2 2 2
direct
0.448 0.750 0.184 S
0.995 0.014 0.300 S
0.005 0.514 0.700 S
0.419 0.750 0.568 S
0.552 0.250 0.816 S
0.995 0.486 0.300 S
0.581 0.250 0.432 S
0.005 0.986 0.700 S
0.254 0.250 0.558 Dy
0.746 0.750 0.442 Dy
0.746 0.250 0.667 Al
0.254 0.750 0.333 Al
0.741 0.750 0.958 Rb
0.259 0.250 0.042 Rb
```